A relaxed structure of K3V2OsO8, computed with GGA+U.

Calculated values
volume = 215.2 Å³ per cell
total energy = -6.654 eV per atom

Cell lengths 5.7461, 5.7461, 7.5250 Å; angles 90.00, 90.00, 120.00 degrees
With the nearest neighbours (Å) after each atom.
Atoms (fractional coordinates):
K  0.0000  0.0000  0.0000  12 O 3.08-3.33
K  0.3333  0.6667  0.6903  7 O 2.60-2.89
K  0.6667  0.3333  0.3097  7 O 2.60-2.89
V  0.3333  0.6667  0.2608  4 O 1.69-1.78
V  0.6667  0.3333  0.7392  4 O 1.69-1.78
Os  0.0000  0.0000  0.5000  6 O 2.02
O  0.1659  0.3317  0.3456  1 V 1.78
O  0.1659  0.8341  0.3456  1 V 1.78
O  0.3317  0.1659  0.6544  1 V 1.78
O  0.3333  0.6667  0.0359  1 V 1.69
O  0.6667  0.3333  0.9641  1 V 1.69
O  0.6683  0.8341  0.3456  1 V 1.78
O  0.8341  0.1659  0.6544  1 V 1.78
O  0.8341  0.6683  0.6544  1 V 1.78